Record 1
Computed, not measured: a relaxed structure of Pr12Y2Th at the PBE level of DFT.

Summary:
Crystal system = orthorhombic

a = 7.246 Å, b = 11.791 Å, c = 25.309 Å
α = 90.00°, β = 90.00°, γ = 90.00°
Space group Cmme (No. 67)
Asymmetric unit:
Pr 0.000 0.002 0.073
Pr 0.000 0.025 0.560
Pr 0.230 0.250 0.414
Pr 0.249 0.250 0.874
Pr 0.250 0.000 0.200
Pr 0.250 0.000 0.325
Y 0.000 0.250 0.267
Y 0.000 0.250 0.729
Th 0.000 0.250 0.999

Record 2
Computed, not measured: a relaxed structure of Pr6Y12Th at the PBE level of DFT.

Summary:
Crystal system = trigonal

a = 13.5284 Å, b = 13.5284 Å, c = 12.4995 Å
α = 90.00°, β = 90.00°, γ = 120.00°
Space group R-3m (No. 166, hexagonal axes)
Asymmetric unit:
Pr 0.0401 0.5200 0.1195
Y 0.0000 0.2561 0.0000
Y 0.0900 0.1800 0.7575
Th 0.0000 0.0000 0.5000

Record 3
Computed, not measured: a relaxed structure of Pr2Y6Th at the PBE level of DFT.

Summary:
Energy relative to the lowest polymorph listed for this composition = 125 kJ/mol of formula units
Crystal system = monoclinic

a = 20.968 Å, b = 7.999 Å, c = 7.353 Å
α = 90.00°, β = 95.90°, γ = 90.00°
Space group C2/c (No. 15)
Asymmetric unit:
Pr 0.234 0.001 0.249
Y 0.064 0.007 0.160
Y 0.134 0.301 0.467
Y 0.141 0.296 0.968
Th 0.000 0.449 0.750

Record 4
Computed, not measured: a relaxed structure of Pr15Y4Th at the PBE level of DFT.

Summary:
Crystal system = tetragonal

a = 5.214 Å, b = 5.214 Å, c = 25.960 Å
α = 90.00°, β = 90.00°, γ = 90.00°
Space group P4/mmm (No. 123)
Asymmetric unit:
Pr 0.000 0.000 0.000
Pr 0.000 0.000 0.202
Pr 0.000 0.000 0.401
Pr 0.000 0.500 0.098
Pr 0.000 0.500 0.300
Pr 0.000 0.500 0.500
Y 0.500 0.500 0.200
Y 0.500 0.500 0.400
Th 0.500 0.500 0.000

Record 5
Computed, not measured: a relaxed structure of Pr3Y7Th at the PBE level of DFT.

Summary:
Energy relative to the lowest polymorph listed for this composition = 25 kJ/mol of formula units
Crystal system = trigonal

a = 7.1338 Å, b = 7.1338 Å, c = 8.8187 Å
α = 90.00°, β = 90.00°, γ = 120.00°
Space group P3m1 (No. 156)
Asymmetric unit:
Pr 0.0044 0.5022 0.0000
Y 0.1687 0.3375 0.3422
Y 0.3339 0.1669 0.6657
Y 0.6667 0.3333 0.3407
Th 0.3333 0.6667 0.6650

Record 6
Computed, not measured: a relaxed structure of PrY12Th5 at the PBE level of DFT.

Summary:
Crystal system = monoclinic

a = 6.244 Å, b = 10.812 Å, c = 17.435 Å
α = 90.00°, β = 96.84°, γ = 90.00°
Space group C2/m (No. 12)
Asymmetric unit:
Pr 0.000 0.000 0.000
Y 0.112 0.000 0.335
Y 0.113 0.333 0.336
Y 0.216 0.500 0.165
Y 0.224 0.169 0.165
Th 0.000 0.166 0.500
Th 0.000 0.333 0.000
Th 0.000 0.500 0.500

no.,E_form (eV/f.u.)
1,2.47
2,4.10
3,1.91
4,0.44
5,1.94
6,0.22